! GGA+U Pm2CrPO8, optimized geometry; values from VASP
&SYSTEM
  ibrav = 0, nat = 12, ntyp = 4
/
ATOMIC_SPECIES
P 30.97 P.upf
O 16.00 O.upf
Cr 52.00 Cr.upf
Pm 145.00 Pm.upf
CELL_PARAMETERS angstrom
-5.4667 1.3122 -2.8625
4.5641 -3.0128 -3.1453
-1.8250 -4.3307 1.5001
ATOMIC_POSITIONS crystal
P 0.0000 0.0000 0.0000
O 0.8747 0.1253 0.7909
O 0.7495 0.8747 0.2091
Cr 0.0000 0.0000 0.5000
O 0.6667 0.3333 0.2843
O 0.1253 0.8747 0.2091
O 0.2505 0.1253 0.7909
Pm 0.3333 0.6667 0.2210
Pm 0.6667 0.3333 0.7790
O 0.1253 0.2505 0.2091
O 0.3333 0.6667 0.7157
O 0.8747 0.7495 0.7909
! **Magnetic moment**: 5.06 μB/cell
! **Uncorrected energy**: -7.230 eV/atom